Run w
A plane-wave DFT calculation with PBE was carried out for a relaxed Ta2AlSe crystal.

Properties
Total moment, μB per cell: 0.0

Geometry as CIF:
```
data_Ta2AlSe
_chemical_formula_sum 'Ta2 Al1 Se1'
_space_group_name_H-M_alt 'P 4/m m m'
_space_group_IT_number 123
_space_group_name_Hall '-P 4 2'
_cell_length_a 3.0668
_cell_length_b 3.0668
_cell_length_c 7.2200
_cell_angle_alpha 90.00
_cell_angle_beta 90.00
_cell_angle_gamma 90.00
loop_
_atom_site_label
_atom_site_type_symbol
_atom_site_fract_x
_atom_site_fract_y
_atom_site_fract_z
_atom_site_occupancy
Ta1 Ta 0.0000 0.0000 0.2380 1
Al1 Al 0.5000 0.5000 0.5000 1
Se1 Se 0.5000 0.5000 0.0000 1
```

***

Run x
A plane-wave DFT calculation with PBE was carried out for a relaxed Ta2AlSe crystal.

Properties
Total moment, μB per cell: 0.0

Geometry as CIF:
```
data_Ta2AlSe
_chemical_formula_sum 'Ta2 Al1 Se1'
_space_group_name_H-M_alt 'P 1 2/m 1'
_space_group_IT_number 10
_cell_length_a 2.9935
_cell_length_b 4.1622
_cell_length_c 5.7243
_cell_angle_alpha 90.00
_cell_angle_beta 102.66
_cell_angle_gamma 90.00
loop_
_space_group_symop_operation_xyz
'x,y,z'
'-x,-y,-z'
'-x,y,-z'
'x,-y,z'
loop_
_atom_site_label
_atom_site_type_symbol
_atom_site_fract_x
_atom_site_fract_y
_atom_site_fract_z
_atom_site_occupancy
Ta1 Ta 0.2041 0.0000 0.2490 1
Al1 Al 0.5000 0.5000 0.0000 1
Se1 Se 0.0000 0.5000 0.5000 1
```

***

Run y
A plane-wave DFT calculation with PBE was carried out for a relaxed Ta2AlSe crystal.

Properties
Total moment, μB per cell: 0.0

Geometry as CIF:
```
data_Ta2AlSe
_chemical_formula_sum 'Ta8 Al4 Se4'
_space_group_name_H-M_alt 'F m -3 m'
_space_group_IT_number 225
_space_group_name_Hall '-F 4 2 3'
_cell_length_a 6.4942
_cell_length_b 6.4942
_cell_length_c 6.4942
_cell_angle_alpha 90.00
_cell_angle_beta 90.00
_cell_angle_gamma 90.00
loop_
_atom_site_label
_atom_site_type_symbol
_atom_site_fract_x
_atom_site_fract_y
_atom_site_fract_z
_atom_site_occupancy
Ta1 Ta 0.2500 0.2500 0.2500 1
Al1 Al 0.0000 0.0000 0.0000 1
Se1 Se 0.0000 0.0000 0.5000 1
```

***

Run z
A plane-wave DFT calculation with PBE was carried out for a relaxed Ta2AlSe crystal.

Properties
Total moment, μB per cell: 0.0

Geometry as CIF:
```
data_Ta2AlSe
_chemical_formula_sum 'Ta4 Al2 Se2'
_space_group_name_H-M_alt 'I m m m'
_space_group_IT_number 71
_space_group_name_Hall '-I 2 2'
_cell_length_a 3.1696
_cell_length_b 5.0576
_cell_length_c 8.7911
_cell_angle_alpha 90.00
_cell_angle_beta 90.00
_cell_angle_gamma 90.00
loop_
_atom_site_label
_atom_site_type_symbol
_atom_site_fract_x
_atom_site_fract_y
_atom_site_fract_z
_atom_site_occupancy
Ta1 Ta 0.0000 0.0000 0.2367 1
Al1 Al 0.0000 0.5000 0.0000 1
Se1 Se 0.0000 0.5000 0.5000 1
```

***

Which is most stable, and by how much? run w, by 0.133 eV/atom.